Arrangement 1

Crystalline ZrAgAu3 at its relaxed geometry. Source: the Alexandria database, functional PBE-GGA.

POSCAR file:
```
ZrAgAu3
1.0
6.5698 -2.4994 0.0000
6.5698 2.4994 0.0000
-0.0665 0.0000 5.7939
Zr Ag Au
2 2 6
direct
0.1024 0.1024 0.2739
0.8976 0.8976 0.7261
0.3090 0.3090 0.0076
0.6910 0.6910 0.9924
0.1166 0.1166 0.7714
0.3067 0.3067 0.5119
0.4991 0.4991 0.2490
0.5009 0.5009 0.7510
0.6933 0.6933 0.4881
0.8834 0.8834 0.2286
```


Arrangement 2

Crystalline ZrAgAu3 at its relaxed geometry. Source: the Alexandria database, functional PBE-GGA.

POSCAR file:
```
ZrAgAu3
1.0
5.2429 0.0000 0.0000
0.0000 5.2429 0.0000
0.0000 0.0000 5.2429
Zr Ag Au
1 1 3
direct
0.0000 0.0000 0.0000
0.5000 0.5000 0.5000
0.0000 0.0000 0.5000
0.0000 0.5000 0.0000
0.5000 0.0000 0.0000
```


Question: which arrangement is favored energetically? Ranking from most to least stable: arrangement 1, arrangement 2.


Arrangement 1

Crystalline ZrAg2Au2 at its relaxed geometry. Source: the Alexandria database, functional PBE-GGA.

POSCAR file:
```
ZrAg2Au2
1.0
8.0102 0.0000 0.0000
0.0000 8.0102 0.0000
0.0000 0.0000 2.9820
Zr Ag Au
2 4 4
direct
0.0000 0.0000 0.0000
0.5000 0.5000 0.0000
0.1210 0.3790 0.0000
0.3790 0.8790 0.0000
0.6210 0.1210 0.0000
0.8790 0.6210 0.0000
0.1781 0.6781 0.5000
0.3219 0.1781 0.5000
0.6781 0.8219 0.5000
0.8219 0.3219 0.5000
```


Arrangement 2

Crystalline ZrAg2Au2 at its relaxed geometry. Source: the Alexandria database, functional PBE-GGA.

POSCAR file:
```
ZrAg2Au2
1.0
7.3091 0.0000 0.0000
0.0000 7.3091 0.0000
0.0000 0.0000 3.6984
Zr Ag Au
2 4 4
direct
0.0000 0.0000 0.0000
0.5000 0.5000 0.0000
0.1658 0.3342 0.5000
0.3342 0.8342 0.5000
0.6658 0.1658 0.5000
0.8342 0.6658 0.5000
0.1342 0.6342 0.0000
0.3658 0.1342 0.0000
0.6342 0.8658 0.0000
0.8658 0.3658 0.0000
```


Arrangement 3

Crystalline ZrAg2Au2 at its relaxed geometry. Source: the Alexandria database, functional PBE-GGA.

POSCAR file:
```
ZrAg2Au2
1.0
-1.9421 1.9421 6.7196
1.9421 -1.9421 6.7196
1.9421 1.9421 -6.7196
Zr Ag Au
1 2 2
direct
0.0000 0.0000 0.0000
0.4016 0.4016 0.0000
0.5984 0.5984 0.0000
0.2500 0.7500 0.5000
0.7500 0.2500 0.5000
```


Question: which arrangement is favored energetically? Ranking from most to least stable: arrangement 1, arrangement 2, arrangement 3.


Arrangement 1

Crystalline Zr4AgAu at its relaxed geometry. Source: the Alexandria database, functional PBE-GGA.

POSCAR file:
```
Zr4AgAu
1.0
3.2896 0.0000 0.0000
0.0000 3.2896 0.0000
0.0000 0.0000 11.9052
Zr Ag Au
4 1 1
direct
0.0000 0.0000 0.1595
0.0000 0.0000 0.8405
0.5000 0.5000 0.3356
0.5000 0.5000 0.6644
0.0000 0.0000 0.5000
0.5000 0.5000 0.0000
```


Arrangement 2

Crystalline Zr4AgAu at its relaxed geometry. Source: the Alexandria database, functional PBE-GGA.

POSCAR file:
```
Zr4AgAu
1.0
0.0000 4.0135 4.0135
4.0135 0.0000 4.0135
4.0135 4.0135 0.0000
Zr Ag Au
4 1 1
direct
0.1252 0.1252 0.1252
0.1252 0.1252 0.6243
0.1252 0.6243 0.1252
0.6243 0.1252 0.1252
0.7500 0.7500 0.7500
0.5000 0.5000 0.5000
```


Question: which arrangement is favored energetically? Ranking from most to least stable: arrangement 1, arrangement 2.


Arrangement 1

Crystalline BaAg2BN at its relaxed geometry. Source: the Alexandria database, functional PBE-GGA.

POSCAR file:
```
BaAg2BN
1.0
6.1909 0.0000 0.0000
0.0000 6.1909 0.0000
0.0000 0.0000 5.5957
Ba Ag B N
1 2 1 1
direct
0.0000 0.0000 0.0000
0.0000 0.5000 0.0000
0.5000 0.0000 0.0000
0.0000 0.0000 0.5000
0.5000 0.5000 0.5000
```


Arrangement 2

Crystalline BaAg2BN at its relaxed geometry. Source: the Alexandria database, functional PBE-GGA.

POSCAR file:
```
BaAg2BN
1.0
4.3047 0.0000 0.0000
0.0000 4.3047 0.0000
0.0000 0.0000 5.2226
Ba Ag B N
1 2 1 1
direct
0.0000 0.0000 0.0000
0.0000 0.5000 0.5000
0.5000 0.0000 0.5000
0.5000 0.5000 0.5000
0.5000 0.5000 0.0000
```


Question: which arrangement is favored energetically? Ranking from most to least stable: arrangement 2, arrangement 1.